Entry 1:
The following is a GGA-PBE calculation of an optimized crystal structure of Tc2MoHIr, from the Alexandria database.

Values from the calculation:
calculated volume: 61.21 Å³/f.u.
D(E_F): 0.94 states/eV/atom
E_tot: -44.2 eV/cell
energy above the lowest structure with this stoichiometry: 0 meV per atom

Unit cell a=3.921 b=3.921 c=3.981 alpha=90.00 beta=90.00 gamma=90.00
Element x y z (fractional)
H 0.000 0.000 0.000
Mo 0.000 0.000 0.500
Ir 0.500 0.500 0.500
Tc 0.000 0.500 0.000
Tc 0.500 0.000 0.000

***

Entry 2:
The following is a GGA-PBE calculation of an optimized crystal structure of CaVCu2, from the Alexandria database.

Values from the calculation:
calculated volume: 92.07 Å³/f.u.
D(E_F): 1.30 states/eV/atom
E_tot: -33.5 eV/cell
energy above the lowest structure with this stoichiometry: 290 meV per atom
ΔE_f: 0.64 eV per atom

Unit cell a=4.611 b=4.611 c=9.253 alpha=75.57 beta=75.57 gamma=90.00
Site moments in Bohr magnetons follow the coordinates.
Element x y z (fractional)
Cu 0.375 0.177 0.750  0.05
Cu 0.875 0.073 0.750  0.05
Cu 0.927 0.625 0.250  0.05
Cu 0.823 0.125 0.250  0.05
V 0.000 0.000 0.000  2.62
V 0.750 0.250 0.500  2.62
Ca 0.500 0.500 0.000  0.07
Ca 0.250 0.750 0.500  0.07

***

Entry 3:
The following is a GGA-PBE calculation of an optimized crystal structure of SmDy12Y5, from the Alexandria database.

Values from the calculation:
calculated volume: 571.56 Å³/f.u.
D(E_F): 1.40 states/eV/atom
E_tot: -91.9 eV/cell
ΔE_f: 0.02 eV per atom

Unit cell a=15.067 b=10.658 c=5.026 alpha=90.00 beta=90.00 gamma=45.08
Element x y z (fractional)
Dy 0.999 0.666 0.000
Dy 0.001 0.334 0.000
Dy 0.335 0.666 0.000
Dy 0.501 0.333 0.500
Dy 0.832 0.000 0.500
Dy 0.166 0.333 0.500
Dy 0.668 0.000 0.000
Dy 0.834 0.667 0.500
Dy 0.332 0.000 0.000
Dy 0.168 0.000 0.500
Dy 0.499 0.667 0.500
Dy 0.665 0.334 0.000
Y 0.666 0.667 0.000
Y 0.334 0.333 0.000
Y 0.833 0.334 0.500
Y 0.167 0.666 0.500
Y 0.500 0.000 0.500
Sm 0.000 0.000 0.000

***

Entry 4:
The following is a GGA-PBE calculation of an optimized crystal structure of Ta2CoHIr, from the Alexandria database.

Values from the calculation:
calculated volume: 62.63 Å³/f.u.
D(E_F): 0.30 states/eV/atom
E_tot: -44.6 eV/cell
energy above the lowest structure with this stoichiometry: 0 meV per atom

Unit cell a=4.062 b=4.062 c=3.796 alpha=90.00 beta=90.00 gamma=90.00
Element x y z (fractional)
Ta 0.500 0.000 0.000
Ta 0.000 0.500 0.000
H 0.000 0.000 0.000
Co 0.000 0.000 0.500
Ir 0.500 0.500 0.500

***

Entry 5:
The following is a GGA-PBE calculation of an optimized crystal structure of ScBiPd2, from the Alexandria database.

Values from the calculation:
calculated volume: 84.69 Å³/f.u.
D(E_F): 0.69 states/eV/atom
E_tot: -44.0 eV/cell
ΔE_f: -0.36 eV per atom

Unit cell a=4.253 b=4.253 c=9.835 alpha=77.51 beta=77.51 gamma=90.00
Element x y z (fractional)
Bi 0.000 0.000 0.000
Bi 0.750 0.250 0.500
Sc 0.250 0.750 0.500
Sc 0.500 0.500 0.000
Pd 0.134 0.625 0.250
Pd 0.375 0.384 0.750
Pd 0.616 0.125 0.250
Pd 0.875 0.866 0.750

***

Entry 6:
The following is a GGA-PBE calculation of an optimized crystal structure of HoAgHgRh, from the Alexandria database.

Values from the calculation:
calculated volume: 78.88 Å³/f.u.
D(E_F): 0.61 states/eV/atom
E_tot: -16.5 eV/cell
ΔE_f: -0.34 eV per atom

Unit cell a=4.814 b=4.814 c=4.814 alpha=60.00 beta=60.00 gamma=60.00
Element x y z (fractional)
Ho 0.000 0.000 0.000
Ag 0.250 0.250 0.250
Hg 0.500 0.500 0.500
Rh 0.750 0.750 0.750

***

Q: What is the formula in the first record?
A: Tc2MoHIr

***

Q: Among the records above, which one has the highest D(E_F)?
A: SmDy12Y5

***

Q: Which value of D(E_F) does entry 2 give?
A: 1.30 states/eV/atom

***

Q: Which formula does entry 5 have?
A: ScBiPd2